No. 1
{"formula": "Nd2ErVO6", "functional": "PBE with a Hubbard U", "state": "relaxed", "lattice_angstrom": [[5.634, 0.000, 0.000], [0.000, 5.877, 0.000], [-5.525, 0.000, 8.201]], "species": ["Nd", "Nd", "Nd", "Nd", "Er", "Er", "V", "V", "O", "O", "O", "O", "O", "O", "O", "O", "O", "O", "O", "O"], "frac_coords": [[0.231, 0.058, 0.250], [0.231, 0.442, 0.750], [0.769, 0.558, 0.250], [0.769, 0.942, 0.750], [0.500, 0.000, 0.000], [0.500, 0.500, 0.500], [0.000, 0.000, 0.500], [0.000, 0.500, 0.000], [0.122, 0.208, 0.937], [0.122, 0.292, 0.437], [0.232, 0.691, 0.939], [0.232, 0.809, 0.439], [0.359, 0.047, 0.741], [0.359, 0.453, 0.241], [0.641, 0.547, 0.759], [0.641, 0.953, 0.259], [0.768, 0.191, 0.561], [0.768, 0.309, 0.061], [0.878, 0.708, 0.563], [0.878, 0.792, 0.063]], "n_ef_per_ev_cell": 0.000, "energy_ry_per_atom": -0.60503}

No. 2
{"formula": "NdErV2O8", "functional": "PBE with a Hubbard U", "state": "relaxed", "lattice_angstrom": [[-3.650, 3.650, 3.203], [3.650, -3.650, 3.203], [3.650, 3.650, -3.203]], "species": ["Nd", "Er", "V", "V", "O", "O", "O", "O", "O", "O", "O", "O"], "frac_coords": [[0.000, 0.000, 0.000], [0.250, 0.750, 0.500], [0.500, 0.500, 0.000], [0.750, 0.250, 0.500], [0.330, 0.143, 0.813], [0.330, 0.517, 0.187], [0.392, 0.071, 0.321], [0.483, 0.670, 0.813], [0.750, 0.071, 0.679], [0.857, 0.670, 0.187], [0.929, 0.250, 0.321], [0.929, 0.608, 0.679]], "n_ef_per_ev_cell": 0.000, "energy_ry_per_atom": -0.59110}

No. 3
{"formula": "Nd3ErW6O24", "functional": "PBE with a Hubbard U", "state": "relaxed", "lattice_angstrom": [[7.034, 0.000, 0.000], [-2.622, 6.542, 0.000], [-2.113, -3.207, 10.947]], "species": ["Nd", "Nd", "Nd", "Er", "W", "W", "W", "W", "W", "W", "O", "O", "O", "O", "O", "O", "O", "O", "O", "O", "O", "O", "O", "O", "O", "O", "O", "O", "O", "O", "O", "O", "O", "O"], "frac_coords": [[0.000, 0.000, 0.000], [0.082, 0.577, 0.190], [0.323, 0.323, 0.688], [0.750, 0.241, 0.503], [0.174, 0.157, 0.349], [0.282, 0.743, 0.545], [0.504, 0.539, 0.047], [0.585, 0.038, 0.150], [0.780, 0.820, 0.636], [0.902, 0.421, 0.844], [0.109, 0.471, 0.555], [0.123, 0.954, 0.206], [0.139, 0.749, 0.399], [0.158, 0.491, 0.815], [0.229, 0.375, 0.055], [0.251, 0.415, 0.322], [0.263, 0.943, 0.656], [0.384, 0.063, 0.043], [0.384, 0.205, 0.487], [0.444, 0.761, 0.173], [0.502, 0.676, 0.661], [0.506, 0.396, 0.898], [0.562, 0.893, 0.521], [0.593, 0.182, 0.301], [0.642, 0.817, 0.022], [0.703, 0.361, 0.697], [0.704, 0.518, 0.156], [0.797, 0.613, 0.529], [0.829, 0.171, 0.879], [0.860, 0.201, 0.141], [0.921, 0.825, 0.787], [0.922, 0.085, 0.384], [0.947, 0.096, 0.630], [0.961, 0.630, 0.986]], "n_ef_per_ev_cell": 0.000, "energy_ry_per_atom": -0.57281}

Repeat the first record exactly.
{"formula": "Nd2ErVO6", "functional": "PBE with a Hubbard U", "state": "relaxed", "lattice_angstrom": [[5.634, 0.000, 0.000], [0.000, 5.877, 0.000], [-5.525, 0.000, 8.201]], "species": ["Nd", "Nd", "Nd", "Nd", "Er", "Er", "V", "V", "O", "O", "O", "O", "O", "O", "O", "O", "O", "O", "O", "O"], "frac_coords": [[0.231, 0.058, 0.250], [0.231, 0.442, 0.750], [0.769, 0.558, 0.250], [0.769, 0.942, 0.750], [0.500, 0.000, 0.000], [0.500, 0.500, 0.500], [0.000, 0.000, 0.500], [0.000, 0.500, 0.000], [0.122, 0.208, 0.937], [0.122, 0.292, 0.437], [0.232, 0.691, 0.939], [0.232, 0.809, 0.439], [0.359, 0.047, 0.741], [0.359, 0.453, 0.241], [0.641, 0.547, 0.759], [0.641, 0.953, 0.259], [0.768, 0.191, 0.561], [0.768, 0.309, 0.061], [0.878, 0.708, 0.563], [0.878, 0.792, 0.063]], "n_ef_per_ev_cell": 0.000, "energy_ry_per_atom": -0.60503}